1.
# NbCuAu

A relaxed structure of NbCuAu (PBE-GGA, OQMD via LeMat-Bulk).

Cell and atoms, written as POSCAR:
```
NbCuAu
1.0
0.000 3.081 3.081
3.081 0.000 3.081
3.081 3.081 0.000
Nb Cu Au
1 1 1
direct
0.000 0.000 0.000
0.750 0.750 0.750
0.250 0.250 0.250
```

Calculated values
Symmetry   F-43m
Offset from the most stable computed form   246.4 meV/atom
Final energy   -15.39 eV per cell

2.
# NbCuAu

A relaxed structure of NbCuAu (PBE-GGA, OQMD via LeMat-Bulk).

Cell and atoms, written as POSCAR:
```
NbCuAu
1.0
0.000 2.977 2.977
2.977 0.000 2.977
2.977 2.977 0.000
Nb Cu Au
1 1 1
direct
0.000 0.000 0.000
0.750 0.750 0.750
0.500 0.500 0.500
```

Calculated values
Symmetry   F-43m
Offset from the most stable computed form   0.0 meV/atom
Final energy   -16.13 eV per cell

3.
# NbCu2Au2

A relaxed structure of NbCu2Au2 (PBE-GGA, OQMD via LeMat-Bulk).

Cell and atoms, written as POSCAR:
```
NbCu2Au2
1.0
-1.904 1.904 5.712
1.904 -1.904 5.712
1.904 1.904 -5.712
Nb Cu Au
1 2 2
direct
0.000 0.000 0.000
0.403 0.403 0.000
0.597 0.597 0.000
0.250 0.750 0.500
0.750 0.250 0.500
```

Calculated values
Symmetry   I4/mmm
Final energy   -22.17 eV per cell

Q: The highest final energy belongs to which entry?
A: number 1

Q: Which value of final energy does entry 1 give?
A: -15.39 eV per cell

Q: Which of these has the lowest final energy?
A: NbCu2Au2

What did the first record say?
# NbCuAu

A relaxed structure of NbCuAu (PBE-GGA, OQMD via LeMat-Bulk).

Cell and atoms, written as POSCAR:
```
NbCuAu
1.0
0.000 3.081 3.081
3.081 0.000 3.081
3.081 3.081 0.000
Nb Cu Au
1 1 1
direct
0.000 0.000 0.000
0.750 0.750 0.750
0.250 0.250 0.250
```

Calculated values
Symmetry   F-43m
Offset from the most stable computed form   246.4 meV/atom
Final energy   -15.39 eV per cell